Tb6Pm3Dy2Ho, relaxed, DFT PBE-GGA; energy of formation = 15 meV per atom; VASP energy = -4.636 eV per atom
1.0
6.195 0.000 0.009
-3.096 5.366 0.009
-1.046 -1.811 11.664
Pm Tb Ho Dy
3 6 1 2
Cartesian
1.027 1.778 5.841
4.124 -0.011 5.841
-2.071 3.567 5.841
3.086 1.770 8.798
2.065 3.575 2.893
-0.012 -0.020 8.789
2.062 -0.003 2.884
-1.033 1.785 2.884
-0.009 3.558 8.798
0.000 0.000 0.000
0.002 3.577 0.009
3.097 1.789 0.009

=====

Tb6Pm2DyHo3, relaxed, DFT PBE-GGA; energy of formation = 15 meV per atom; VASP energy = -4.620 eV per atom
1.0
-4.932 -1.320 -3.466
5.475 0.976 -2.675
2.259 -11.231 2.885
Ho Tb Pm Dy
3 6 2 1
Cartesian
1.401 -5.788 -1.628
-2.070 -6.553 -1.892
4.872 -5.022 -1.364
0.363 -9.035 -2.575
1.823 -8.479 0.633
2.438 -2.540 -0.681
0.979 -3.096 -3.889
3.826 -8.271 -2.311
-1.025 -3.304 -0.944
2.005 0.211 -2.939
-1.463 -0.554 -3.202
0.000 0.000 0.000

=====

TbPm2Dy4Ho, relaxed, DFT PBE-GGA; energy of formation = 427 meV per atom; VASP energy = -4.213 eV per atom
1.0
9.355 -0.024 -1.707
-0.031 9.354 -1.707
-5.949 -5.953 8.271
Tb Pm Ho Dy
2 4 2 8
Cartesian
6.365 1.677 1.575
-0.015 4.677 -0.854
-2.974 -2.976 4.136
1.703 -2.988 3.282
4.677 -0.012 -0.854
4.662 4.665 -1.707
3.406 -5.977 6.564
1.688 1.689 2.429
4.009 -0.623 2.433
-3.666 1.082 6.560
4.008 3.989 1.592
-0.633 -0.612 3.265
7.041 2.296 -1.703
-0.634 4.000 2.425
1.076 1.055 5.693
2.299 2.322 -0.836

=====

TbPmDy3Ho, relaxed, DFT PBE-GGA; energy of formation = 127 meV per atom; VASP energy = -4.500 eV per atom
1.0
5.787 0.000 0.000
-2.894 5.752 0.000
0.000 0.000 11.548
Dy Tb Pm Ho
6 2 2 2
Cartesian
0.000 3.756 11.254
0.000 3.756 6.067
2.894 1.996 0.293
2.894 1.996 5.481
0.000 1.650 8.661
2.894 4.102 2.887
0.000 0.000 5.774
0.000 0.000 0.000
0.000 5.455 2.887
2.894 0.297 8.661
2.894 3.787 8.661
0.000 1.965 2.887

=====

no.,DOS(E_F) (states/eV/cell)
1,15.451
2,15.379
3,34.995
4,22.544